No. 1
A relaxed structure of HoTm2Ru3, computed with PBE.

Values from the calculation:
- formation energy (eV/f.u.) = -2.39
- N(E_F) (states/eV/cell) = 6.03
- excess energy over the best structure of this formula in the dataset (meV/atom) = 0

a b c (Å): 3.3711 3.3711 10.0420
angles (deg): 90.00 90.00 90.00
Space group P4/mmm (No. 123)
One atom of each set of equivalent atoms:
Ho1 0.0000 0.0000 0.0000 [1 per cell]
Tm1 0.0000 0.0000 0.3343 [2 per cell]
Ru1 0.5000 0.5000 0.1684 [2 per cell]
Ru2 0.5000 0.5000 0.5000 [1 per cell]


No. 2
A relaxed structure of LiAgMo2, computed with PBE.

Values from the calculation:
- formation energy (eV/f.u.) = 1.68
- N(E_F) (states/eV/cell) = 7.80
- excess energy over the best structure of this formula in the dataset (meV/atom) = 221

a b c (Å): 5.0895 9.4246 2.6274
angles (deg): 90.00 90.00 90.00
Space group Cmmm (No. 65)
One atom of each set of equivalent atoms:
Li1 0.0000 0.0000 0.0000 [2 per cell]
Ag1 0.0000 0.5000 0.0000 [2 per cell]
Mo1 0.2500 0.2500 0.5000 [4 per cell]


No. 3
A relaxed structure of TlGa6, computed with PBE.

Values from the calculation:
- formation energy (eV/f.u.) = 1.28
- N(E_F) (states/eV/cell) = 7.98
- excess energy over the best structure of this formula in the dataset (meV/atom) = 134

a b c (Å): 7.1789 7.1789 7.1789
angles (deg): 90.00 90.00 90.00
Space group Im-3m (No. 229)
One atom of each set of equivalent atoms:
Tl1 0.0000 0.0000 0.0000 [2 per cell]
Ga1 0.0000 0.2500 0.5000 [12 per cell]


No. 4
A relaxed structure of Nd3MgSn3, computed with PBE.

Values from the calculation:
- formation energy (eV/f.u.) = -3.92
- N(E_F) (states/eV/cell) = 17.37

a b c (Å): 8.1569 10.4816 9.7018
angles (deg): 90.00 90.41 90.00
Space group C2/m (No. 12)
One atom of each set of equivalent atoms:
Nd1 0.0000 0.1901 0.0000 [4 per cell]
Nd2 0.0000 0.2166 0.5000 [4 per cell]
Nd3 0.1039 0.5000 0.7959 [4 per cell]
Mg1 0.1972 0.5000 0.4618 [4 per cell]
Sn1 0.0024 0.0000 0.2621 [4 per cell]
Sn2 0.2303 0.2943 0.2425 [8 per cell]


No. 5
A relaxed structure of La2AlP, computed with PBE.

Values from the calculation:
- formation energy (eV/f.u.) = -2.38
- N(E_F) (states/eV/cell) = 6.23
- excess energy over the best structure of this formula in the dataset (meV/atom) = 236

a b c (Å): 4.9006 4.9006 8.3998
angles (deg): 90.00 90.00 90.00
Space group I4/mmm (No. 139)
One atom of each set of equivalent atoms:
La1 0.0000 0.5000 0.2500 [4 per cell]
Al1 0.0000 0.0000 0.0000 [2 per cell]
P1 0.0000 0.0000 0.5000 [2 per cell]